The following is a PBE with a Hubbard U calculation of a geometry-optimized KRb2MoF8 structure, from the Alexandria database.

Geometry as CIF:
```
data_KRb2MoF8
_symmetry_space_group_name_H-M 'P 1'
_symmetry_Int_Tables_number 1
_cell_length_a 7.249
_cell_length_b 7.249
_cell_length_c 7.249
_cell_angle_alpha 130.31
_cell_angle_beta 130.31
_cell_angle_gamma 72.90
loop_
_symmetry_equiv_pos_as_xyz
'x,y,z'
loop_
_atom_site_label
_atom_site_type_symbol
_atom_site_fract_x
_atom_site_fract_y
_atom_site_fract_z
K1 K 0.000 0.000 0.000
Rb1 Rb 0.250 0.750 0.500
Rb2 Rb 0.500 0.500 0.000
Mo1 Mo 0.750 0.250 0.500
F1 F 0.047 0.157 0.497
F2 F 0.047 0.549 0.889
F3 F 0.451 0.340 0.497
F4 F 0.451 0.953 0.111
F5 F 0.660 0.157 0.111
F6 F 0.660 0.549 0.503
F7 F 0.843 0.340 0.889
F8 F 0.843 0.953 0.503
```

Properties
DFT total energy = -0.172 Ha/atom
Space-group type = I-4m2, No. 119